CuAg: optimized geometry, PBE.

Computed properties:
Density = 9.60 g/cm3
Total energy = -6.34 eV per formula unit
Space-group type = Cm (8)

a = 11.308 Å, b = 11.308 Å, c = 4.755 Å
α = 95.14°, β = 95.14°, γ = 14.17°
Sites, in units of the cell vectors:
Cu: 0.991 0.991 0.998
Cu: 0.898 0.898 0.297
Cu: 0.703 0.703 0.903
Cu: 0.399 0.399 0.801
Cu: 0.808 0.808 0.600
Ag: 0.596 0.596 0.195
Ag: 0.303 0.303 0.089
Ag: 0.102 0.102 0.705
Ag: 0.206 0.206 0.410
Ag: 0.493 0.493 0.502

Cu3Ag2: optimized geometry, PBE.

Computed properties:
Density = 9.48 g/cm3
Space-group type = P4mm (99)
Offset from the most stable computed form = 34 meV/atom

a = 2.761 Å, b = 2.761 Å, c = 18.670 Å
α = 90.00°, β = 90.00°, γ = 90.00°
Sites, in units of the cell vectors:
Cu: 0.500 0.500 0.893
Cu: 0.000 0.000 0.600
Cu: 0.000 0.000 0.978
Cu: 0.000 0.000 0.808
Cu: 0.500 0.500 0.306
Cu: 0.500 0.500 0.515
Ag: 0.500 0.500 0.082
Ag: 0.000 0.000 0.410
Ag: 0.000 0.000 0.203
Ag: 0.500 0.500 0.704

Cu6Ag: optimized geometry, PBE.

Computed properties:
Density = 9.15 g/cm3
Space-group type = C2/m (12)
Offset from the most stable computed form = 7 meV/atom

a = 5.694 Å, b = 5.694 Å, c = 6.400 Å
α = 109.52°, β = 109.52°, γ = 27.11°
Sites, in units of the cell vectors:
Cu: 0.853 0.853 0.070
Cu: 0.725 0.725 0.649
Cu: 0.429 0.429 0.802
Cu: 0.571 0.571 0.198
Cu: 0.147 0.147 0.930
Cu: 0.275 0.275 0.351
Ag: 0.000 0.000 0.500

CuAg: optimized geometry, PBE.

Computed properties:
Density = 9.50 g/cm3
Total energy = -6.35 eV per formula unit
Space-group type = Cm (8)

a = 7.428 Å, b = 7.428 Å, c = 5.646 Å
α = 100.33°, β = 100.33°, γ = 29.31°
Sites, in units of the cell vectors:
Ag: 0.397 0.397 0.692
Ag: 0.602 0.602 0.814
Ag: 0.007 0.007 0.492
Ag: 0.400 0.400 0.196
Ag: 0.793 0.793 0.898
Cu: 0.200 0.200 0.579
Cu: 0.788 0.788 0.392
Cu: 0.008 0.008 0.013
Cu: 0.197 0.197 0.124
Cu: 0.607 0.607 0.299

Cu4Ag5: optimized geometry, PBE.

Computed properties:
Density = 9.63 g/cm3
Space-group type = I4mm (107)
Offset from the most stable computed form = 17 meV/atom

a = 16.967 Å, b = 16.967 Å, c = 16.967 Å
α = 170.37°, β = 170.37°, γ = 13.64°
Sites, in units of the cell vectors:
Ag: 0.344 0.344 0.000
Ag: 0.543 0.543 0.000
Ag: 0.671 0.671 0.000
Ag: 0.107 0.107 0.000
Ag: 0.780 0.780 0.000
Cu: 0.899 0.899 0.000
Cu: 0.988 0.988 0.000
Cu: 0.444 0.444 0.000
Cu: 0.225 0.225 0.000

Cu3Ag2: optimized geometry, PBE.

Computed properties:
Density = 9.46 g/cm3
Space-group type = C2/m (12)
Offset from the most stable computed form = 46 meV/atom

a = 9.442 Å, b = 9.442 Å, c = 5.577 Å
α = 98.56°, β = 98.56°, γ = 16.88°
Sites, in units of the cell vectors:
Cu: 0.498 0.498 0.276
Cu: 0.303 0.303 0.639
Cu: 0.502 0.502 0.724
Cu: 0.095 0.095 0.539
Cu: 0.905 0.905 0.461
Cu: 0.697 0.697 0.361
Ag: 0.093 0.093 0.056
Ag: 0.699 0.699 0.832
Ag: 0.301 0.301 0.168
Ag: 0.907 0.907 0.944

Cu3Ag2: optimized geometry, PBE.

Computed properties:
Density = 9.39 g/cm3
Space-group type = C2/m (12)
Offset from the most stable computed form = 51 meV/atom

a = 7.427 Å, b = 7.427 Å, c = 7.329 Å
α = 105.11°, β = 105.11°, γ = 21.64°
Sites, in units of the cell vectors:
Ag: 0.615 0.615 0.810
Ag: 0.000 0.000 0.000
Ag: 0.385 0.385 0.190
Ag: 0.000 0.000 0.500
Cu: 0.800 0.800 0.876
Cu: 0.795 0.795 0.411
Cu: 0.390 0.390 0.691
Cu: 0.610 0.610 0.309
Cu: 0.200 0.200 0.124
Cu: 0.205 0.205 0.589

Cu4Ag5: optimized geometry, PBE.

Computed properties:
Density = 9.55 g/cm3
Space-group type = P-3m1 (164)
Offset from the most stable computed form = 63 meV/atom

a = 2.815 Å, b = 2.815 Å, c = 20.109 Å
α = 90.00°, β = 90.00°, γ = 120.00°
Sites, in units of the cell vectors:
Cu: 0.667 0.333 0.609
Cu: 0.333 0.667 0.391
Cu: 0.667 0.333 0.952
Cu: 0.333 0.667 0.048
Ag: 0.000 0.000 0.159
Ag: 0.000 0.000 0.841
Ag: 0.667 0.333 0.282
Ag: 0.000 0.000 0.500
Ag: 0.333 0.667 0.718